A relaxed PmBi2Au crystal, computed with PBE.

Results
V = 218 Å³/cell
space group = No. 129
energy relative to the elements = -0.574 eV per atom
E above lowest polymorph = 0.0 kJ/mol of atoms

Lattice parameters (Å, degrees): 4.7129 4.7129 9.8365 90.00 90.00 90.00
Sites, in units of the cell vectors:
Pm 0.2500 0.2500 0.2299
Pm 0.7500 0.7500 0.7701
Bi 0.2500 0.2500 0.8046
Bi 0.2500 0.7500 0.5000
Bi 0.7500 0.2500 0.5000
Bi 0.7500 0.7500 0.1955
Au 0.2500 0.7500 0.0000
Au 0.7500 0.2500 0.0000

---

A relaxed Pm2Bi2Au15 crystal, computed with PBE.

Results
V = 406 Å³/cell
space group = No. 166
energy relative to the elements = -0.247 eV per atom

Lattice parameters (Å, degrees): 7.4399 7.4399 7.4399 84.04 84.04 84.04
Sites, in units of the cell vectors:
Pm 0.1408 0.1408 0.1408
Pm 0.8592 0.8592 0.8592
Bi 0.3904 0.3904 0.3904
Bi 0.6096 0.6096 0.6096
Au 0.0000 0.5000 0.5000
Au 0.1598 0.5000 0.8402
Au 0.1598 0.8402 0.5000
Au 0.1616 0.1616 0.6831
Au 0.1616 0.6831 0.1616
Au 0.3169 0.8384 0.8384
Au 0.5000 0.0000 0.5000
Au 0.5000 0.1598 0.8402
Au 0.5000 0.5000 0.0000
Au 0.5000 0.8402 0.1598
Au 0.6831 0.1616 0.1616
Au 0.8384 0.3169 0.8384
Au 0.8384 0.8384 0.3169
Au 0.8402 0.1598 0.5000
Au 0.8402 0.5000 0.1598

---

A relaxed Pm7Bi2Au2 crystal, computed with PBE.

Results
V = 369 Å³/cell
space group = No. 65
energy relative to the elements = -0.392 eV per atom

Lattice parameters (Å, degrees): 7.3233 7.3233 7.0219 90.00 90.00 101.53
Sites, in units of the cell vectors:
Pm 0.0000 0.0000 0.0000
Pm 0.0000 0.5000 0.2562
Pm 0.0000 0.5000 0.7438
Pm 0.5000 0.0000 0.2562
Pm 0.5000 0.0000 0.7438
Pm 0.5000 0.5000 0.2412
Pm 0.5000 0.5000 0.7588
Bi 0.1898 0.1898 0.5000
Bi 0.8102 0.8102 0.5000
Au 0.2744 0.7256 0.0000
Au 0.7256 0.2744 0.0000

---

A relaxed PmBiAu6 crystal, computed with PBE.

Results
V = 173 Å³/cell
space group = No. 200
energy relative to the elements = -0.277 eV per atom
E above lowest polymorph = 3.6 kJ/mol of atoms

Lattice parameters (Å, degrees): 5.5734 5.5734 5.5734 90.00 90.00 90.00
Sites, in units of the cell vectors:
Pm 0.0000 0.0000 0.0000
Bi 0.5000 0.5000 0.5000
Au 0.0000 0.2483 0.5000
Au 0.0000 0.7517 0.5000
Au 0.2483 0.5000 0.0000
Au 0.5000 0.0000 0.2483
Au 0.5000 0.0000 0.7517
Au 0.7517 0.5000 0.0000

---

A relaxed Pm2BiAu4 crystal, computed with PBE.

Results
V = 183 Å³/cell
space group = No. 166
energy relative to the elements = -0.557 eV per atom

Lattice parameters (Å, degrees): 9.1090 9.1090 9.1090 31.47 31.47 31.47
Sites, in units of the cell vectors:
Pm 0.2478 0.2478 0.2478
Pm 0.7522 0.7522 0.7522
Bi 0.0000 0.0000 0.0000
Au 0.1330 0.1330 0.1330
Au 0.3792 0.3792 0.3792
Au 0.6208 0.6208 0.6208
Au 0.8670 0.8670 0.8670

---

A relaxed PmBi8Au2 crystal, computed with PBE.

Results
V = 351 Å³/cell
space group = No. 12
energy relative to the elements = -0.089 eV per atom

Lattice parameters (Å, degrees): 10.2893 10.2893 4.4593 90.46 90.46 48.06
Sites, in units of the cell vectors:
Pm 0.0000 0.0000 0.0000
Bi 0.1051 0.6786 0.5005
Bi 0.2665 0.2665 0.5060
Bi 0.3214 0.8949 0.4995
Bi 0.4188 0.4188 0.0043
Bi 0.5812 0.5812 0.9957
Bi 0.6786 0.1051 0.5005
Bi 0.7335 0.7335 0.4940
Bi 0.8949 0.3214 0.4995
Au 0.1700 0.1700 0.0018
Au 0.8300 0.8300 0.9982

---

In the order shown, the computed E_tot values come out to -4.522; -3.743; -4.717; -3.814; -4.342; -3.939 eV/atom.